Compound: LiZnHg2W
Source: Alexandria
Functional: GGA-PBE
Structure: optimized geometry

Lattice parameters (Å, degrees): 4.538 4.319 4.538 90.00 90.00 90.00
Fractional positions:
1 Zn 0.000 0.500 0.000
2 Hg 0.000 0.000 0.500
3 Hg 0.500 0.000 0.000
4 W 0.500 0.500 0.500
5 Li 0.000 0.000 0.000

Output
* formation energy from the elements: 1061 meV/atom
* space-group type: P4/mmm

Compound: LiY2Hg3
Source: Alexandria
Functional: GGA-PBE
Structure: optimized geometry

Lattice parameters (Å, degrees): 5.960 5.960 9.105 102.71 102.71 109.13
Fractional positions:
1 Li 0.667 0.667 0.334
2 Li 0.333 0.333 0.666
3 Y 0.250 0.750 0.500
4 Y 0.753 0.753 0.000
5 Y 0.750 0.250 0.500
6 Y 0.247 0.247 0.000
7 Hg 0.351 0.824 0.175
8 Hg 0.176 0.649 0.825
9 Hg 0.649 0.176 0.825
10 Hg 0.824 0.351 0.175
11 Hg 0.174 0.174 0.349
12 Hg 0.826 0.826 0.651

Output
* formation energy from the elements: -395 meV/atom
* space-group type: Fmmm
* excess energy over the best structure of this formula in the dataset: 0.0753 eV per atom

Compound: LiYHg2
Source: Alexandria
Functional: GGA-PBE
Structure: optimized geometry

Lattice parameters (Å, degrees): 5.560 5.560 5.168 79.66 79.66 37.60
Fractional positions:
1 Hg 0.001 0.001 0.968
2 Hg 0.251 0.251 0.303
3 Li 0.507 0.507 0.431
4 Y 0.741 0.741 0.798

Output
* formation energy from the elements: -323 meV/atom
* space-group type: Cm
* excess energy over the best structure of this formula in the dataset: 0.1288 eV per atom

Compound: LiYHg2
Source: Alexandria
Functional: GGA-PBE
Structure: optimized geometry

Lattice parameters (Å, degrees): 4.655 4.655 10.114 76.69 76.69 90.00
Fractional positions:
1 Y 0.000 0.000 0.000
2 Y 0.750 0.250 0.500
3 Hg 0.568 0.125 0.250
4 Hg 0.182 0.625 0.250
5 Hg 0.375 0.432 0.750
6 Hg 0.875 0.818 0.750
7 Li 0.500 0.500 0.000
8 Li 0.250 0.750 0.500

Output
* formation energy from the elements: -97 meV/atom
* space-group type: I-42d
* excess energy over the best structure of this formula in the dataset: 0.3549 eV per atom

Compound: LiY3Hg5
Source: Alexandria
Functional: GGA-PBE
Structure: optimized geometry

Lattice parameters (Å, degrees): 6.222 9.019 9.020 120.00 90.00 90.00
Fractional positions:
1 Li 0.000 0.000 0.000
2 Li 0.500 0.000 0.000
3 Y 0.750 0.362 0.362
4 Y 0.750 0.000 0.638
5 Y 0.750 0.638 0.000
6 Y 0.250 0.638 0.638
7 Y 0.250 0.000 0.362
8 Y 0.250 0.362 0.000
9 Hg 0.000 0.667 0.333
10 Hg 0.500 0.333 0.667
11 Hg 0.000 0.333 0.667
12 Hg 0.500 0.667 0.333
13 Hg 0.750 0.706 0.706
14 Hg 0.750 0.000 0.294
15 Hg 0.750 0.294 0.000
16 Hg 0.250 0.294 0.294
17 Hg 0.250 0.000 0.706
18 Hg 0.250 0.706 0.000

Output
* formation energy from the elements: -428 meV/atom
* space-group type: P6_3/mcm

Compound: Li2YHg
Source: Alexandria
Functional: GGA-PBE
Structure: optimized geometry

Lattice parameters (Å, degrees): 3.556 3.556 7.151 90.00 90.00 90.00
Fractional positions:
1 Hg 0.500 0.500 0.786
2 Li 0.000 0.000 0.996
3 Li 0.500 0.500 0.199
4 Y 0.000 0.000 0.519

Output
* formation energy from the elements: -187 meV/atom
* space-group type: P4mm
* excess energy over the best structure of this formula in the dataset: 0.0577 eV per atom

Compound: Li2YHg
Source: Alexandria
Functional: GGA-PBE
Structure: optimized geometry

Lattice parameters (Å, degrees): 7.974 7.974 6.391 51.40 51.40 90.00
Fractional positions:
1 Y 0.500 0.500 0.000
2 Y 0.250 0.750 0.500
3 Hg 0.000 0.000 0.000
4 Hg 0.750 0.250 0.500
5 Li 0.675 0.125 0.250
6 Li 0.075 0.625 0.250
7 Li 0.375 0.325 0.750
8 Li 0.875 0.925 0.750

Output
* formation energy from the elements: -11 meV/atom
* space-group type: I-42d
* excess energy over the best structure of this formula in the dataset: 0.2337 eV per atom

Compound: Li2YHg
Source: Alexandria
Functional: GGA-PBE
Structure: optimized geometry

Lattice parameters (Å, degrees): 3.703 4.910 5.154 90.00 90.00 90.00
Fractional positions:
1 Hg 0.000 0.500 0.500
2 Li 0.000 0.000 0.000
3 Li 0.500 0.500 0.000
4 Y 0.500 0.000 0.500

Output
* formation energy from the elements: -142 meV/atom
* space-group type: Pmmm
* excess energy over the best structure of this formula in the dataset: 0.1026 eV per atom

Compound: Li4YHg
Source: Alexandria
Functional: GGA-PBE
Structure: optimized geometry

Lattice parameters (Å, degrees): 5.435 5.435 5.435 60.00 60.00 60.00
Fractional positions:
1 Hg 0.000 0.000 0.000
2 Li 0.119 0.627 0.627
3 Li 0.627 0.627 0.627
4 Li 0.627 0.119 0.627
5 Li 0.627 0.627 0.119
6 Y 0.250 0.250 0.250

Output
* formation energy from the elements: -113 meV/atom
* space-group type: F-43m

Compound: Li2YHg4
Source: Alexandria
Functional: GGA-PBE
Structure: optimized geometry

Lattice parameters (Å, degrees): 4.716 4.716 8.625 74.13 74.13 60.00
Fractional positions:
1 Li 0.756 0.756 0.732
2 Li 0.244 0.244 0.268
3 Y 0.000 0.000 0.000
4 Hg 0.870 0.870 0.391
5 Hg 0.130 0.130 0.609
6 Hg 0.603 0.603 0.191
7 Hg 0.397 0.397 0.809

Output
* formation energy from the elements: -295 meV/atom
* space-group type: R-3m

Compound: LiY2Hg
Source: Alexandria
Functional: GGA-PBE
Structure: optimized geometry

Lattice parameters (Å, degrees): 7.400 7.400 7.400 51.51 153.30 136.80
Fractional positions:
1 Li 0.000 0.000 0.000
2 Y 0.000 0.275 0.275
3 Y 0.000 0.725 0.725
4 Hg 0.000 0.500 0.500

Output
* formation energy from the elements: 244 meV/atom
* space-group type: Immm

Compound: Li2YHg6
Source: Alexandria
Functional: GGA-PBE
Structure: optimized geometry

Lattice parameters (Å, degrees): 5.266 9.018 9.018 75.36 82.75 82.75
Fractional positions:
1 Li 0.411 0.538 0.786
2 Li 0.089 0.214 0.462
3 Li 0.589 0.462 0.214
4 Li 0.911 0.786 0.538
5 Y 0.250 0.127 0.873
6 Y 0.750 0.873 0.127
7 Hg 0.473 0.677 0.439
8 Hg 0.027 0.561 0.323
9 Hg 0.527 0.323 0.561
10 Hg 0.973 0.439 0.677
11 Hg 0.651 0.105 0.358
12 Hg 0.849 0.642 0.895
13 Hg 0.349 0.895 0.642
14 Hg 0.151 0.358 0.105
15 Hg 0.306 0.752 0.008
16 Hg 0.194 0.992 0.248
17 Hg 0.694 0.248 0.992
18 Hg 0.806 0.008 0.752

Output
* formation energy from the elements: -281 meV/atom
* space-group type: C2/c

Compound: Li3Y2Hg4
Source: Alexandria
Functional: GGA-PBE
Structure: optimized geometry

Lattice parameters (Å, degrees): 6.001 8.283 8.386 90.00 110.96 90.00
Fractional positions:
1 Li 0.000 0.000 0.000
2 Li 0.500 0.500 0.000
3 Li 0.532 0.750 0.565
4 Li 0.968 0.250 0.435
5 Li 0.468 0.250 0.435
6 Li 0.032 0.750 0.565
7 Y 0.115 0.583 0.231
8 Y 0.885 0.417 0.769
9 Y 0.385 0.083 0.769
10 Y 0.615 0.917 0.231
11 Hg 0.703 0.750 0.907
12 Hg 0.797 0.250 0.093
13 Hg 0.297 0.250 0.093
14 Hg 0.203 0.750 0.907
15 Hg 0.183 0.960 0.366
16 Hg 0.817 0.040 0.634
17 Hg 0.317 0.460 0.634
18 Hg 0.683 0.540 0.366

Output
* formation energy from the elements: -376 meV/atom
* space-group type: Cmce

Compound: LiYHg2
Source: Alexandria
Functional: GGA-PBE
Structure: optimized geometry

Lattice parameters (Å, degrees): 9.297 9.297 9.297 22.44 22.44 22.44
Fractional positions:
1 Hg 0.995 0.995 0.995
2 Hg 0.244 0.244 0.244
3 Li 0.513 0.513 0.513
4 Y 0.748 0.748 0.748

Output
* formation energy from the elements: -90 meV/atom
* space-group type: R3m
* excess energy over the best structure of this formula in the dataset: 0.3622 eV per atom